Here is a relaxed structure of SiSbPt from Alexandria via LeMat-Bulk. Energies are from PBE.

Its uncorrected energy is -0.200 Ha/atom. The magnetic moment comes out at 0.0 μB per formula unit. The uncorrected formation energy comes out at -0.251 eV per atom.

It has space group P3m1 (No. 156), with a = 3.6384 Å, b = 3.6384 Å, c = 5.2319 Å, α = 90.00°, β = 90.00° and γ = 120.00°. The distinct sites, in fractional coordinates, are Si at (0.0000, 0.0000, 0.0000), Sb at (0.6667, 0.3333, 0.5843) and Pt at (0.3333, 0.6667, 0.2286).